(1)
Density functional theory data (GGA-PBE) for a relaxed structure of Tm4AlPd.

Computed properties:
V   25.6 Å³ per atom
Distance to the lowest polymorph of the same formula   117 meV per atom
Theoretical density   8.74 g/cm³
Uncorrected energy   -4.86 eV per atom

abc: 8.7395 13.3870 5.7179
angles: 90.00 113.14 90.00
Last column: nearest neighbours and their distance in Å.
Space group C2/c (No. 15)
One atom of each set of equivalent atoms:
Tm: 0.1191 0.1816 0.0742  2 Pd 2.96-2.99, 2 Al 3.11-3.17, 1 Tm 3.29
Tm: 0.2060 0.4265 0.3290  2 Pd 2.91-2.95, 2 Al 3.15-3.16
Al: 0.0000 0.3745 0.7500  8 Tm 3.11-3.17
Pd: 0.0000 0.0006 0.2500  2 Pd 2.86, 8 Tm 2.91-2.99

---

(2)
Density functional theory data (GGA-PBE) for a relaxed structure of Tm5AlPd4.

Computed properties:
V   21.2 Å³ per atom
Theoretical density   10.18 g/cm³
Uncorrected energy   -5.52 eV per atom

abc: 3.4806 3.4806 17.4658
angles: 90.00 90.00 90.00
Last column: nearest neighbours and their distance in Å.
Space group P4/mmm (No. 123)
One atom of each set of equivalent atoms:
Tm: 0.0000 0.0000 0.0000  8 Pd 3.01
Tm: 0.0000 0.0000 0.1974  8 Pd 3.00-3.03
Tm: 0.0000 0.0000 0.3933  4 Pd 2.97, 4 Al 3.09
Al: 0.5000 0.5000 0.5000  8 Tm 3.09
Pd: 0.5000 0.5000 0.0993  8 Tm 3.00-3.01
Pd: 0.5000 0.5000 0.2984  8 Tm 2.97-3.03

---

(3)
Density functional theory data (GGA-PBE) for a relaxed structure of TmAl2Pd.

Computed properties:
V   18.2 Å³ per atom
Theoretical density   7.51 g/cm³
Uncorrected energy   -4.91 eV per atom

abc: 3.1681 3.1681 7.2529
angles: 90.00 90.00 90.00
Last column: nearest neighbours and their distance in Å.
Space group P4/mmm (No. 123)
One atom of each set of equivalent atoms:
Tm: 0.0000 0.0000 0.0000  8 Al 3.12, 4 Tm 3.17
Al: 0.5000 0.5000 0.2996  4 Pd 2.67, 1 Al 2.91
Pd: 0.0000 0.0000 0.5000  8 Al 2.67

---

| no. | energy of formation from the pure elements (eV/atom) |
| --- | --- |
| 1 | -0.385 |
| 2 | -0.830 |
| 3 | -0.624 |